(1)
# CoCuAs2N

A geometry-optimized CoCuAs2N structure (PBE-GGA, the Alexandria database). Values from VASP.

Calculated values
raw formation energy = 873 kJ/mol of formula units
energy = -3.955 eV per atom
crystal system = tetragonal
space-group type = P4/mmm

Geometry as Quantum ESPRESSO input:
```
&SYSTEM
  ibrav = 0, nat = 5, ntyp = 4
/
ATOMIC_SPECIES
As 74.92 As.upf
N 14.01 N.upf
Cu 63.55 Cu.upf
Co 58.93 Co.upf
ATOMIC_POSITIONS angstrom
As 1.032 0.623 1.914
As -1.772 -0.739 1.197
N 0.221 -2.174 3.262
Cu 0.000 0.000 0.000
Co 0.961 -2.058 0.152
CELL_PARAMETERS angstrom
-3.544 -1.478 2.393
1.922 -4.116 0.304
2.065 1.247 3.828
```



(2)
# K6Au2Br

A geometry-optimized K6Au2Br structure (PBE-GGA, the Alexandria database). Values from VASP.

Calculated values
raw formation energy = -423 kJ/mol of formula units
energy = -2.134 eV per atom
crystal system = monoclinic
space-group type = C2/m

Geometry as Quantum ESPRESSO input:
```
&SYSTEM
  ibrav = 0, nat = 9, ntyp = 3
/
ATOMIC_SPECIES
Au 196.97 Au.upf
K 39.10 K.upf
Br 79.90 Br.upf
ATOMIC_POSITIONS angstrom
Au 0.000 5.644 -0.006
Au 2.351 3.061 8.535
K 0.000 0.728 8.982
K 0.000 5.411 8.071
K 0.000 6.258 3.266
K 2.351 3.294 0.458
K 2.351 7.977 -0.453
K 2.351 2.446 5.263
Br 4.702 0.129 5.694
CELL_PARAMETERS angstrom
4.702 0.000 0.000
-2.351 8.447 -2.859
0.000 0.257 11.388
```